Here is a geometry-optimized PrBeZnPt2 structure from the Alexandria database. Energies are from PBE-GGA.

Properties
The density of states at the Fermi level is 1.6 states/eV/cell. As for the magnetic moment: 0.0 μB per cell. The space-group type is I-4m2 (119). The formation energy comes out at -0.7250 eV/atom.

Cell lengths 4.0342, 4.0342, 6.3262 Å; angles 108.59, 108.59, 90.00 degrees
Closest atoms and distances in Å follow each position.
Fractional coordinates of all 5 atoms:
Pr 0.0000 0.0000 0.0000  8 Pt 3.17, 4 Zn 3.47, 4 Be 3.47
Pt 0.3782 0.3782 0.7563  2 Be 2.48, 2 Zn 2.48, 1 Pt 2.75
Pt 0.6218 0.6218 0.2437  2 Be 2.48, 2 Zn 2.48, 1 Pt 2.75
Be 0.7500 0.2500 0.5000  4 Pt 2.48
Zn 0.2500 0.7500 0.5000  4 Pt 2.48